# 1
VASP calculation (meta-GGA SCAN) on a crystal of LaZnP2 relaxed with PBEsol.

Its formation energy is -0.673 eV per atom. The value obtained for the total energy is -20.027 eV per atom.

The structure belongs to space group P4mm (No. 99); the cell edges are 4.529, 4.529 and 4.010 Å and the angles 90.00°, 90.00° and 90.00°. The asymmetric unit holds La at (0.000, 0.000, 0.000), Zn at (0.500, 0.500, 0.721) and P at (0.000, 0.500, 0.502).

# 2
VASP calculation (meta-GGA SCAN) on a crystal of LaZnP2 relaxed with PBEsol.

Its formation energy is -0.452 eV per atom. The value obtained for the total energy is -19.807 eV per atom.

The structure belongs to space group P4/mmm (No. 123); the cell edges are 3.548, 3.548 and 5.928 Å and the angles 90.00°, 90.00° and 90.00°. The asymmetric unit holds La at (0.000, 0.000, 0.000), Zn at (0.000, 0.000, 0.500) and P at (0.500, 0.500, 0.310).

# 3
VASP calculation (meta-GGA SCAN) on a crystal of La7ZnP2 relaxed with PBEsol.

Its formation energy is -0.758 eV per atom. The value obtained for the total energy is -34.363 eV per atom.

The structure belongs to space group P4/mbm (No. 127); the cell edges are 11.789, 11.789 and 4.088 Å and the angles 90.00°, 90.00° and 90.00°. The asymmetric unit holds La at (0.000, 0.500, 0.000), La at (0.070, 0.196, 0.000), La at (0.173, 0.673, 0.500), Zn at (0.000, 0.000, 0.500) and P at (0.132, 0.368, 0.500).

# 4
VASP calculation (meta-GGA SCAN) on a crystal of LaZrP2 relaxed with PBEsol.

The calculation puts the energy above the lowest structure with this stoichiometry at 0 meV per atom. Its formation energy is -1.632 eV per atom. The value obtained for the total energy is -25.282 eV per atom.

The structure belongs to space group R-3m (No. 166, hexagonal axes); the cell edges are 3.8960, 3.8960 and 19.6952 Å and the angles 90.00°, 90.00° and 120.00°. The asymmetric unit holds La at (0.0000, 0.0000, 0.0000), Zr at (0.0000, 0.0000, 0.5000) and P at (0.0000, 0.0000, 0.2398).